A geometry-optimized FeCuNiAs structure, computed with PBE.

Results
Polymorph energy (0 for the lowest one) ... 0.074 eV per atom
Symmetry ... F-43m

Cell: 5.738 5.738 5.738 Å, 90.00 90.00 90.00°
Fractional positions:
Fe1 0.000 0.000 0.000
Fe2 0.000 0.500 0.500
Fe3 0.500 0.000 0.500
Fe4 0.500 0.500 0.000
Cu1 0.000 0.000 0.500
Cu2 0.000 0.500 0.000
Cu3 0.500 0.000 0.000
Cu4 0.500 0.500 0.500
Ni1 0.250 0.250 0.250
Ni2 0.250 0.750 0.750
Ni3 0.750 0.250 0.750
Ni4 0.750 0.750 0.250
As1 0.250 0.250 0.750
As2 0.250 0.750 0.250
As3 0.750 0.250 0.250
As4 0.750 0.750 0.750

---

A geometry-optimized Dy2Ga5Co3 structure, computed with PBE.

Results
Symmetry ... Ibam

Cell: 8.309 8.309 8.309 Å, 109.53 83.37 141.36°
Fractional positions:
Dy1 0.145 0.223 0.368
Dy2 0.355 0.723 0.078
Dy3 0.645 0.277 0.922
Dy4 0.855 0.777 0.632
Ga1 0.047 0.750 0.297
Ga2 0.083 0.681 0.764
Ga3 0.250 0.250 0.000
Ga4 0.417 0.181 0.598
Ga5 0.453 0.750 0.703
Ga6 0.547 0.250 0.297
Ga7 0.583 0.819 0.402
Ga8 0.750 0.750 0.000
Ga9 0.917 0.319 0.236
Ga10 0.953 0.250 0.703
Co1 0.150 0.916 0.066
Co2 0.250 0.750 0.500
Co3 0.350 0.416 0.765
Co4 0.650 0.584 0.235
Co5 0.750 0.250 0.500
Co6 0.850 0.084 0.934

---

A geometry-optimized PrDyGe structure, computed with PBE.

Results
Symmetry ... F-43m

Cell: 7.073 7.073 7.073 Å, 90.00 90.00 90.00°
Fractional positions:
Pr1 0.000 0.000 0.000
Pr2 0.000 0.500 0.500
Pr3 0.500 0.000 0.500
Pr4 0.500 0.500 0.000
Dy1 0.250 0.250 0.750
Dy2 0.250 0.750 0.250
Dy3 0.750 0.250 0.250
Dy4 0.750 0.750 0.750
Ge1 0.000 0.000 0.500
Ge2 0.000 0.500 0.000
Ge3 0.500 0.000 0.000
Ge4 0.500 0.500 0.500

---

A geometry-optimized Cs2YAgI6 structure, computed with PBE.

Results
Symmetry ... Fm-3m

Cell: 8.584 8.584 8.584 Å, 60.00 60.00 60.00°
Fractional positions:
Cs1 0.250 0.250 0.250
Cs2 0.750 0.750 0.750
Y1 0.000 0.000 0.000
Ag1 0.500 0.500 0.500
I1 0.250 0.250 0.750
I2 0.250 0.750 0.250
I3 0.250 0.750 0.750
I4 0.750 0.250 0.250
I5 0.750 0.250 0.750
I6 0.750 0.750 0.250

---

A geometry-optimized Sn3GeIr4 structure, computed with PBE.

Results
Symmetry ... Pm

Cell: 5.713 3.947 6.672 Å, 90.00 90.18 90.00°
Fractional positions:
Sn1 0.000 0.000 0.000
Sn2 0.064 0.500 0.493
Sn3 0.496 0.000 0.324
Ge1 0.568 0.500 0.816
Ir1 0.289 0.500 0.113
Ir2 0.297 0.000 0.694
Ir3 0.771 0.500 0.170
Ir4 0.779 0.000 0.650

---

A geometry-optimized ZrPdPbSe3 structure, computed with PBE.

Results
Polymorph energy (0 for the lowest one) ... 0.022 eV per atom
Symmetry ... Cmcm

Cell: 7.317 7.317 10.295 Å, 90.00 90.00 149.23°
Fractional positions:
Zr1 0.000 0.000 0.000
Zr2 0.000 0.000 0.500
Pd1 0.448 0.552 0.750
Pd2 0.552 0.448 0.250
Pb1 0.213 0.787 0.250
Pb2 0.787 0.213 0.750
Se1 0.074 0.926 0.750
Se2 0.363 0.637 0.530
Se3 0.363 0.637 0.970
Se4 0.637 0.363 0.030
Se5 0.637 0.363 0.470
Se6 0.926 0.074 0.250

---

Results for DFT total energy: -87.36 -101.42 -52.56 -32.59 -53.83 -65.97 (in eV for the cell shown, following the order of the records).